This record from Alexandria via LeMat-Bulk describes a geometry-optimized Na3GaCl structure. The functional is GGA-PBE.

Properties
Formation energy without anion corrections: -11.06 kcal/mol of atoms
N(E_F): 2.53 states/eV/f.u.
Energy above the most stable polymorph in this dataset: 0.000 eV/atom
Electronic total energy: -2.25 eV per atom

Cell lengths 5.3133, 5.3133, 5.3133 Å; angles 90.00, 90.00, 90.00 degrees
With the nearest neighbours (Å) after each atom.
Atoms (fractional coordinates):
Na: 0.0000 0.0000 0.5000  2 Cl 2.66
Na: 0.0000 0.5000 0.0000  2 Cl 2.66
Na: 0.5000 0.0000 0.0000  2 Cl 2.66
Ga: 0.5000 0.5000 0.5000  12 Na 3.76
Cl: 0.0000 0.0000 0.0000  6 Na 2.66

---

This record from Alexandria via LeMat-Bulk describes a geometry-optimized NaGaCl2 structure. The functional is GGA-PBE.

Properties
Formation energy without anion corrections: -26.04 kcal/mol of atoms
N(E_F): 0.00 states/eV/f.u.
Energy above the most stable polymorph in this dataset: 0.102 eV/atom
Electronic total energy: -3.14 eV per atom

Cell lengths 3.5671, 3.5671, 7.2455 Å; angles 90.00, 90.00, 90.00 degrees
With the nearest neighbours (Å) after each atom.
Atoms (fractional coordinates):
Na: 0.0000 0.0000 0.0000  8 Cl 3.05
Ga: 0.0000 0.0000 0.5000  8 Cl 3.16
Cl: 0.5000 0.5000 0.2368  4 Na 3.05, 4 Ga 3.16
Cl: 0.5000 0.5000 0.7632  4 Na 3.05, 4 Ga 3.16

---

This record from Alexandria via LeMat-Bulk describes a geometry-optimized Na3GaCl6 structure. The functional is GGA-PBE.

Properties
Formation energy without anion corrections: -34.80 kcal/mol of atoms
N(E_F): 0.00 states/eV/f.u.
Energy above the most stable polymorph in this dataset: 0.000 eV/atom
Electronic total energy: -3.32 eV per atom

Cell lengths 9.3688, 9.3688, 7.1693 Å; angles 90.00, 90.00, 104.99 degrees
With the nearest neighbours (Å) after each atom.
Atoms (fractional coordinates):
Na: 0.0554 0.9446 0.5000  4 Cl 2.75-2.80
Na: 0.1655 0.3661 0.4251  3 Cl 2.66-2.92
Na: 0.3661 0.1655 0.9251  3 Cl 2.66-2.92
Na: 0.6339 0.8345 0.4251  3 Cl 2.66-2.92
Na: 0.8345 0.6339 0.9251  3 Cl 2.66-2.92
Na: 0.9446 0.0554 0.0000  4 Cl 2.75-2.80
Ga: 0.3011 0.6989 0.7459  4 Cl 2.17-2.22
Ga: 0.6989 0.3011 0.2459  4 Cl 2.17-2.22
Cl: 0.0692 0.6185 0.6469  1 Ga 2.22
Cl: 0.1348 0.1957 0.7263  4 Na 2.66-2.80
Cl: 0.1957 0.1348 0.2263  4 Na 2.66-2.80
Cl: 0.3184 0.6816 0.0458  1 Ga 2.17
Cl: 0.3815 0.9308 0.6469  1 Ga 2.22
Cl: 0.4273 0.5727 0.5801  1 Ga 2.22
Cl: 0.5727 0.4273 0.0801  1 Ga 2.22
Cl: 0.6185 0.0692 0.1469  1 Ga 2.22
Cl: 0.6816 0.3184 0.5458  1 Ga 2.17
Cl: 0.8043 0.8652 0.7263  4 Na 2.66-2.80
Cl: 0.8652 0.8043 0.2263  4 Na 2.66-2.80
Cl: 0.9308 0.3815 0.1469  1 Ga 2.22

---

This record from Alexandria via LeMat-Bulk describes a geometry-optimized Na3GaCl6 structure. The functional is GGA-PBE.

Properties
Formation energy without anion corrections: -31.92 kcal/mol of atoms
N(E_F): 0.00 states/eV/f.u.
Energy above the most stable polymorph in this dataset: 0.125 eV/atom
Electronic total energy: -3.19 eV per atom

Cell lengths 7.1512, 7.1512, 7.1512 Å; angles 60.00, 60.00, 60.00 degrees
With the nearest neighbours (Å) after each atom.
Atoms (fractional coordinates):
Na: 0.0000 0.0000 0.0000  6 Cl 2.68
Na: 0.2500 0.2500 0.2500  12 Cl 3.58
Na: 0.7500 0.7500 0.7500  12 Cl 3.58
Ga: 0.5000 0.5000 0.5000  6 Cl 2.38
Cl: 0.2651 0.2651 0.7349  1 Ga 2.38
Cl: 0.2651 0.7349 0.2651  1 Ga 2.38
Cl: 0.2651 0.7349 0.7349  1 Ga 2.38
Cl: 0.7349 0.2651 0.2651  1 Ga 2.38
Cl: 0.7349 0.2651 0.7349  1 Ga 2.38
Cl: 0.7349 0.7349 0.2651  1 Ga 2.38

---

This record from Alexandria via LeMat-Bulk describes a geometry-optimized Na4GaCl5 structure. The functional is GGA-PBE.

Properties
Formation energy without anion corrections: -36.27 kcal/mol of atoms
N(E_F): 0.00 states/eV/f.u.
Electronic total energy: -3.33 eV per atom

Cell lengths 7.0936, 7.0936, 10.0555 Å; angles 118.33, 118.33, 33.33 degrees
With the nearest neighbours (Å) after each atom.
Atoms (fractional coordinates):
Na: 0.0967 0.0967 0.3992  6 Cl 2.83-2.89
Na: 0.2976 0.2976 0.2047  6 Cl 2.83-2.92
Na: 0.7024 0.7024 0.7953  6 Cl 2.83-2.92
Na: 0.9033 0.9033 0.6008  6 Cl 2.83-2.89
Ga: 0.5000 0.5000 0.0000  6 Cl 2.98-3.00
Cl: 0.1073 0.1073 0.8917  4 Na 2.83-2.92, 2 Ga 3.00
Cl: 0.2960 0.2960 0.6897  5 Na 2.83-2.89, 1 Ga 2.98
Cl: 0.5000 0.5000 0.5000  6 Na 2.87-2.88
Cl: 0.7040 0.7040 0.3103  5 Na 2.83-2.89, 1 Ga 2.98
Cl: 0.8927 0.8927 0.1083  4 Na 2.83-2.92, 2 Ga 3.00

---

This record from Alexandria via LeMat-Bulk describes a geometry-optimized NaGaCl2 structure. The functional is GGA-PBE.

Properties
Formation energy without anion corrections: -28.40 kcal/mol of atoms
N(E_F): 0.00 states/eV/f.u.
Energy above the most stable polymorph in this dataset: 0.000 eV/atom
Electronic total energy: -3.24 eV per atom

Cell lengths 7.3361, 7.3361, 7.3361 Å; angles 32.78, 32.78, 32.78 degrees
With the nearest neighbours (Å) after each atom.
Atoms (fractional coordinates):
Na: 0.0000 0.0000 0.0000  6 Cl 2.87
Ga: 0.5000 0.5000 0.5000  6 Cl 3.04
Cl: 0.2572 0.2572 0.2572  3 Na 2.87, 3 Ga 3.04
Cl: 0.7428 0.7428 0.7428  3 Na 2.87, 3 Ga 3.04